# ZrNi2Ir

A relaxed structure of ZrNi2Ir (GGA-PBEsol, Alexandria).

Calculated values
Space-group type ... I4/mmm, No. 139
Spin magnetization ... 0.0 μB/f.u.
ΔE_f ... -45.8 kJ per mole of atoms

```
ZrNi2Ir
1.0
-1.906 1.906 3.748
1.906 -1.906 3.748
1.906 1.906 -3.748
Zr Ni Ir
1 2 1
direct
0.000 0.000 0.000
0.250 0.750 0.500
0.750 0.250 0.500
0.500 0.500 0.000
```